## 1
{
  "formula": "RbMg6WO8",
  "functional": "PBE with a Hubbard U",
  "state": "optimized geometry",
  "n_ef_per_ev_fu": 2.50,
  "magmom_total_mub_per_cell": 3.0,
  "lattice": [[-3.286, 1.342, 2.875], [2.837, -0.612, 3.528], [2.819, 8.575, -0.779]],
  "species": ["W", "O", "O", "O", "O", "O", "O", "O", "O", "Rb", "Mg", "Mg", "Mg", "Mg", "Mg", "Mg"],
  "fractional_positions": [[0.000, 0.000, 0.500], [0.000, 0.500, 0.500], [0.500, 0.000, 0.500], [0.500, 0.500, 0.253], [0.000, 0.000, 0.271], [0.500, 0.000, 0.000], [0.000, 0.500, 0.000], [0.500, 0.500, 0.747], [0.000, 0.000, 0.729], [0.000, 0.000, 0.000], [0.500, 0.500, 0.000], [0.500, 0.000, 0.764], [0.000, 0.500, 0.764], [0.500, 0.000, 0.236], [0.500, 0.500, 0.500], [0.000, 0.500, 0.236]]
}

***

## 2
{
  "formula": "RbMg6WO8",
  "functional": "PBE with a Hubbard U",
  "state": "optimized geometry",
  "n_ef_per_ev_fu": 0.29,
  "magmom_total_mub_per_cell": 3.0,
  "lattice": [[4.579, 0.000, 0.000], [0.000, 4.579, 0.000], [0.000, 0.000, 8.875]],
  "species": ["O", "O", "O", "O", "O", "O", "O", "O", "Mg", "Mg", "Mg", "Mg", "Mg", "Mg", "W", "Rb"],
  "fractional_positions": [[0.000, 0.000, 0.717], [0.500, 0.500, 0.747], [0.000, 0.500, 0.500], [0.000, 0.500, 0.000], [0.500, 0.000, 0.000], [0.000, 0.000, 0.283], [0.500, 0.000, 0.500], [0.500, 0.500, 0.253], [0.500, 0.000, 0.264], [0.000, 0.500, 0.264], [0.500, 0.000, 0.736], [0.000, 0.000, 0.500], [0.000, 0.500, 0.736], [0.500, 0.500, 0.500], [0.500, 0.500, 0.000], [0.000, 0.000, 0.000]]
}

***

Least stable = 1